The following is a DFT calculation (PBE) of Pd7RuPt4 after structural relaxation.

a = 2.7761 Å, b = 2.7761 Å, c = 27.5079 Å
α = 90.00°, β = 90.00°, γ = 120.00°
Last column: nearest neighbours and their distance in Å.
Space group P-3m1 (No. 164)
One atom of each set of equivalent atoms:
Pd: 0.0000 0.0000 0.0000 (multiplicity 1)  6 Pd 2.78, 6 Pt 2.81
Pd: 0.0000 0.0000 0.2514 (multiplicity 2)  9 Pd 2.78-2.80, 3 Pt 2.83
Pd: 0.3333 0.6667 0.1681 (multiplicity 2)  9 Pd 2.78-2.80, 3 Pt 2.82
Pd: 0.3333 0.6667 0.4207 (multiplicity 2)  3 Ru 2.71, 6 Pd 2.78, 3 Pt 2.83
Ru: 0.0000 0.0000 0.5000 (multiplicity 1)  6 Pd 2.71, 6 Ru 2.78
Pt: 0.3333 0.6667 0.6640 (multiplicity 2)  6 Pt 2.78, 6 Pd 2.83
Pt: 0.3333 0.6667 0.9161 (multiplicity 2)  6 Pt 2.78, 6 Pd 2.81-2.82

- Magnetization: 0.00 μB/f.u.
- Raw total energy: -5.810 eV per atom
- Formation enthalpy at 0 K: 1 kJ per mole of atoms
- Fermi-level density of states: 2.058 states/eV/atom